(1)
VASP calculation (GGA-PBE) on an optimized crystal structure of ScHgNO.

Lattice parameters (Å, degrees): 4.1077 4.1077 7.7573 90.00 90.00 90.00
Closest atoms and distances in Å follow each position.
Positions (direct):
1 Hg 0.0000 0.0000 0.5000  4 N 2.38
2 N 0.5000 0.0000 0.3443  1 Sc 1.99
3 N 0.0000 0.5000 0.6557  1 Sc 1.99
4 Sc 0.0000 0.5000 0.9119  1 N 1.99, 4 O 2.16
5 Hg 0.5000 0.5000 0.5000  4 N 2.38
6 O 0.5000 0.5000 0.0000  4 Sc 2.16
7 O 0.0000 0.0000 0.0000  4 Sc 2.16
8 Sc 0.5000 0.0000 0.0881  1 N 1.99, 4 O 2.16

## Properties
total magnetization = 0.0 μB/f.u.
SG = P4/nmm, No. 129
offset from the most stable computed form = 98 meV/atom

=====

(2)
VASP calculation (GGA-PBE) on an optimized crystal structure of SiHgNO.

Lattice parameters (Å, degrees): 2.9112 5.1722 7.3226 90.00 90.00 90.00
Closest atoms and distances in Å follow each position.
Positions (direct):
1 Si 0.5000 0.9946 0.1332  2 O 1.64, 2 N 1.73
2 N 0.0000 0.9705 0.2598  2 Si 1.73
3 N 0.0000 0.4705 0.7402  2 Si 1.73
4 O 0.5000 0.7747 0.9718  2 Si 1.64
5 Hg 0.0000 0.5142 0.3752  2 N 2.51-2.68
6 Hg 0.0000 0.0142 0.6248  2 N 2.51-2.68
7 O 0.5000 0.2747 0.0282  2 Si 1.64
8 Si 0.5000 0.4946 0.8668  2 O 1.64, 2 N 1.73

## Properties
SG = Pmc2_1, No. 26
offset from the most stable computed form = 0 meV/atom

=====

(3)
VASP calculation (GGA-PBE) on an optimized crystal structure of SiHgNO.

Lattice parameters (Å, degrees): 2.8107 5.2768 7.4039 90.00 90.00 90.00
Closest atoms and distances in Å follow each position.
Positions (direct):
1 N 0.0000 0.3329 0.5872  2 Si 1.70
2 Hg 0.5000 0.9743 0.1242  2 N 2.66, 1 O 2.69, 2 Hg 2.81
3 Si 0.0000 0.0111 0.6038  2 N 1.70, 2 O 1.70
4 N 0.0000 0.8329 0.4128  2 Si 1.70
5 Hg 0.5000 0.4743 0.8758  2 N 2.66, 1 O 2.69, 2 Hg 2.81
6 Si 0.0000 0.5111 0.3962  2 N 1.70, 2 O 1.70
7 O 0.5000 0.4356 0.2790  2 Si 1.70
8 O 0.5000 0.9356 0.7210  2 Si 1.70

## Properties
SG = Pmc2_1, No. 26
offset from the most stable computed form = 104 meV/atom

=====

(4)
VASP calculation (GGA-PBE) on an optimized crystal structure of SiHgNO.

Lattice parameters (Å, degrees): 3.9018 3.9018 7.5529 90.00 90.00 90.00
Closest atoms and distances in Å follow each position.
Positions (direct):
1 Hg 0.2500 0.7500 0.5000  4 N 2.43
2 O 0.2500 0.7500 0.0000  4 Si 2.06
3 Si 0.7500 0.7500 0.0869  1 N 1.66
4 O 0.7500 0.2500 0.0000  4 Si 2.06
5 N 0.7500 0.7500 0.3071  1 Si 1.66
6 Hg 0.7500 0.2500 0.5000  4 N 2.43
7 N 0.2500 0.2500 0.6929  1 Si 1.66
8 Si 0.2500 0.2500 0.9131  1 N 1.66

## Properties
SG = P4/nmm, No. 129
offset from the most stable computed form = 919 meV/atom

=====

(5)
VASP calculation (GGA-PBE) on an optimized crystal structure of SiHgNO.

Lattice parameters (Å, degrees): 5.4434 8.0598 4.8699 90.00 90.00 90.00
Closest atoms and distances in Å follow each position.
Positions (direct):
1 N 0.6201 0.4473 0.6451  3 Si 1.75
2 Hg 0.0626 0.1026 0.0010  2 O 2.40-2.58
3 O 0.9952 0.7725 0.0579  1 Si 1.62
4 N 0.1201 0.5527 0.6451  3 Si 1.75
5 O 0.5048 0.7725 0.5579  1 Si 1.62
6 Si 0.5901 0.4142 0.9984  1 O 1.62, 3 N 1.75
7 O 0.4952 0.2275 0.0579  1 Si 1.62
8 N 0.8799 0.4473 0.1451  3 Si 1.75
9 Hg 0.5626 0.8974 0.0010  2 O 2.40-2.58
10 N 0.3799 0.5527 0.1451  3 Si 1.75
11 Si 0.0901 0.5858 0.9984  1 O 1.62, 3 N 1.75
12 O 0.0048 0.2275 0.5579  1 Si 1.62
13 Hg 0.4374 0.1026 0.5010  2 O 2.40-2.58
14 Si 0.9099 0.4142 0.4984  1 O 1.62, 3 N 1.75
15 Si 0.4099 0.5858 0.4984  1 O 1.62, 3 N 1.75
16 Hg 0.9374 0.8974 0.5010  2 O 2.40-2.58

## Properties
SG = Pca2_1, No. 29
offset from the most stable computed form = 29 meV/atom

=====

(6)
VASP calculation (GGA-PBE) on an optimized crystal structure of SiHgNO.

Lattice parameters (Å, degrees): 3.9382 3.9382 7.0701 90.00 90.00 90.00
Closest atoms and distances in Å follow each position.
Positions (direct):
1 Si 0.7500 0.2500 0.5000  4 N 1.97
2 N 0.7500 0.7500 0.4885  4 Si 1.97
3 N 0.2500 0.2500 0.5115  4 Si 1.97
4 O 0.2500 0.7500 0.0000  4 Hg 2.26
5 Si 0.2500 0.7500 0.5000  4 N 1.97
6 Hg 0.2500 0.2500 0.1558  4 O 2.26, 1 N 2.51
7 O 0.7500 0.2500 0.0000  4 Hg 2.26
8 Hg 0.7500 0.7500 0.8442  4 O 2.26, 1 N 2.51

## Properties
SG = P4/nmm, No. 129
offset from the most stable computed form = 1269 meV/atom